FeIr2Cl, optimized geometry, DFT PBE-GGA; calculated total energy = -26.53 eV per cell; formation energy without anion corrections = 0.376 eV per atom; N(E_F) = 4.910 states/eV/f.u.; energy relative to the lowest polymorph listed for this composition = 0.036 eV/atom
1.0
-0.8254 3.2688 0.8685
-1.8425 -0.9774 1.9275
4.7580 -0.0066 4.5466
Fe Ir Cl
1 2 1
Direct
0.5000 0.5003 0.7962
0.5000 0.4999 0.2048
0.0000 0.0000 0.9979
0.0000 0.4999 0.5010